Entry 1:
Tm2GaCo2Ni5 after structural relaxation, computed with PBE-GGA.

Lattice parameters (Å, degrees): 8.6951 8.6951 3.7131 90.00 90.00 90.00
Last column: nearest neighbours and their distance in Å.
Space group P4/mbm (No. 127)
Unique sites:
Tm 0.1749 0.3251 0.0000 x4  3 Co 2.48-2.63
Ga 0.0000 0.0000 0.0000 x2  8 Ni 2.64
Co 0.1234 0.6234 0.0000 x4  6 Ni 2.40-2.43, 3 Tm 2.48-2.63
Ni 0.0000 0.5000 0.5000 x2  4 Co 2.40, 4 Ni 2.62
Ni 0.0638 0.7941 0.5000 x8  2 Co 2.43, 3 Ni 2.62-2.65, 2 Ga 2.64

Output
As for the density: 9.7 g/cm³. As for the total moment: 2.514 μB/f.u. The final energy is -115.49 eV for the cell shown.

Entry 2:
InPdF2 after structural relaxation, computed with PBE-GGA.

Lattice parameters (Å, degrees): 4.0019 4.0019 15.4165 90.00 90.00 90.00
Last column: nearest neighbours and their distance in Å.
Space group I-42d (No. 122)
Unique sites:
In 0.0000 0.0000 0.0000 x4  4 F 2.38
Pd 0.0000 0.0000 0.5000 x4  4 F 2.40
F 0.2431 0.2500 0.1250 x8  2 In 2.38, 2 Pd 2.40

Output
As for the density: 7.0 g/cm³. As for the total moment: 0.000 μB/f.u. The value obtained for the formation energy without anion corrections is -1.166 eV/atom.

Entry 3:
Pm7Mg2Sc after structural relaxation, computed with PBE-GGA.

Lattice parameters (Å, degrees): 8.8941 16.7306 5.1342 90.00 90.00 90.00
Last column: nearest neighbours and their distance in Å.
Space group Cmmm (No. 65)
Unique sites:
Pm 0.0000 0.0000 0.0000 x2  2 Mg 3.32, 4 Pm 3.37
Pm 0.0000 0.2926 0.5000 x4  2 Mg 3.01
Pm 0.1831 0.3895 0.0000 x8  1 Mg 3.18, 4 Pm 3.26-3.45, 2 Sc 3.56
Mg 0.0000 0.1982 0.0000 x4  5 Pm 3.01-3.32
Sc 0.0000 0.5000 0.5000 x2  10 Pm 3.47-3.56

Output
As for the density: 4.8 g/cm³. As for the total moment: 0.000 μB/f.u. The final energy is -74.72 eV for the cell shown.